No. 1
Here is a relaxed structure of BeZnSe2 from Alexandria via LeMat-Bulk. Energies are from PBE.

abc: 4.5881 4.5881 4.5881
angles: 60.00 60.00 60.00
Positions (direct):
Be 0.0000 0.0000 0.0000
Zn 0.5000 0.5000 0.5000
Se 0.2500 0.2500 0.2500
Se 0.7500 0.7500 0.7500

Values from the calculation:
Magnetic moment (μB/atom): 0.00
Energy above the lowest structure with this stoichiometry (kJ/mol of atoms): 108.2
E_form (uncorrected) (eV/atom): 0.376
Calculated density (g/cm³): 5.6
Uncorrected energy (eV/atom): -2.616

***

No. 2
Here is a relaxed structure of KZnCd2Ir from Alexandria via LeMat-Bulk. Energies are from PBE.

abc: 5.2856 5.2856 4.9131
angles: 90.00 90.00 90.00
Positions (direct):
K 0.0000 0.0000 0.0000
Zn 0.5000 0.5000 0.0000
Cd 0.0000 0.5000 0.5000
Cd 0.5000 0.0000 0.5000
Ir 0.5000 0.5000 0.5000

Values from the calculation:
Magnetic moment (μB/atom): 0.00
Energy of formation (meV per atom): -37
Calculated density (g/cm³): 6.3
Uncorrected energy (eV/atom): -2.650

***

Question: Which value of magnetic moment does entry 2 give?
Answer: 0.00 μB/atom

***

Question: Which of these has the lowest uncorrected energy?
Answer: KZnCd2Ir

***

Question: calculated density of number 1 (BeZnSe2)?
Answer: 5.6 g/cm³

***

Question: Among the records above, which one has the highest uncorrected energy?
Answer: BeZnSe2